Compound: CeSnPd6
Source: Alexandria via LeMat-Bulk
Functional: GGA-PBE
Structure: relaxed

E above lowest polymorph in meV/atom: 0
SG: P4/mmm (123)

```
CeSnPd6
1.0
-3.740 -1.101 -1.311
-0.254 -2.758 3.042
-3.349 5.631 4.825
Ce Sn Pd
1 1 6
direct
0.000 0.000 0.500
0.000 0.000 0.000
0.500 0.500 0.000
0.500 0.500 0.500
0.500 0.000 0.246
0.500 0.000 0.754
0.000 0.500 0.246
0.000 0.500 0.754
```

=====

Compound: ScFeAs2
Source: Alexandria via LeMat-Bulk
Functional: GGA-PBE
Structure: relaxed

E above lowest polymorph in meV/atom: 144
SG: P2/m (10)

```
ScFeAs2
1.0
3.865 0.000 0.000
0.000 3.611 -0.004
0.000 0.493 4.959
As Fe Sc
2 1 1
direct
0.000 0.121 0.006
0.000 0.379 0.494
0.500 0.250 0.250
0.500 0.750 0.750
```

=====

Compound: Be4AgPt5
Source: Alexandria via LeMat-Bulk
Functional: GGA-PBE
Structure: relaxed

SG: P4/mmm (123)

```
Be4AgPt5
1.0
-2.055 -0.702 1.806
0.918 -2.671 0.005
9.536 3.300 12.135
Be Ag Pt
4 1 5
direct
0.000 0.000 0.219
0.000 0.000 0.407
0.000 0.000 0.593
0.000 0.000 0.781
0.000 0.000 0.000
0.500 0.500 0.138
0.500 0.500 0.319
0.500 0.500 0.500
0.500 0.500 0.681
0.500 0.500 0.862
```

=====

Compound: Li2TlO
Source: Alexandria via LeMat-Bulk
Functional: GGA-PBE
Structure: relaxed

E above lowest polymorph in meV/atom: 0
SG: R3m (160)
Raw formation energy in eV per formula unit: -4.703

```
Li2TlO
1.0
3.257 0.000 0.000
1.629 2.821 0.000
1.629 0.940 6.714
Li Tl O
2 1 1
direct
0.031 0.031 0.906
0.298 0.298 0.106
0.508 0.508 0.475
0.662 0.662 0.014
```

=====

Number 1: magnetization 0.162 Bohr magnetons per cell, Fermi-level density of states 4.224 states/eV per cell, DFT total energy -5.79 eV/atom. Number 2: magnetization 1.071 Bohr magnetons per cell, Fermi-level density of states 2.270 states/eV per cell, DFT total energy -6.44 eV/atom. Number 3: magnetization 0.000 Bohr magnetons per cell, Fermi-level density of states 2.707 states/eV per cell, DFT total energy -5.46 eV/atom. Number 4: magnetization 0.000 Bohr magnetons per cell, Fermi-level density of states 0.787 states/eV per cell, DFT total energy -3.96 eV/atom.